No. 1
{"formula": "GaC3O", "functional": "PBE-GGA", "state": "relaxed", "cell": [[3.984, 0.000, 0.000], [0.000, 3.984, 0.000], [0.000, 0.000, 3.984]], "species": ["Ga", "C", "C", "C", "O"], "frac_coords": [[0.000, 0.000, 0.000], [0.000, 0.000, 0.500], [0.000, 0.500, 0.000], [0.500, 0.000, 0.000], [0.500, 0.500, 0.500]], "spacegroup": "Pm-3m", "polymorph_energy_mev_per_atom": 390}

No. 2
{"formula": "Pr8P3S3N", "functional": "PBE-GGA", "state": "relaxed", "cell": [[4.123, 2.381, 6.670], [-4.123, 2.381, 6.670], [0.000, -4.761, 6.670]], "species": ["Pr", "Pr", "Pr", "Pr", "Pr", "Pr", "Pr", "Pr", "P", "P", "P", "S", "S", "S", "N"], "frac_coords": [[0.224, 0.773, 0.773], [0.227, 0.227, 0.776], [0.227, 0.776, 0.227], [0.248, 0.248, 0.248], [0.752, 0.752, 0.752], [0.773, 0.224, 0.773], [0.773, 0.773, 0.224], [0.776, 0.227, 0.227], [0.000, 0.000, 0.500], [0.000, 0.500, 0.000], [0.500, 0.000, 0.000], [0.000, 0.500, 0.500], [0.500, 0.000, 0.500], [0.500, 0.500, 0.000], [0.000, 0.000, 0.000]], "spacegroup": "R-3m"}

No. 3
{"formula": "SnPb3Br", "functional": "PBE-GGA", "state": "relaxed", "cell": [[5.746, 0.000, 0.000], [0.000, 5.746, 0.000], [0.000, 0.000, 5.746]], "species": ["Sn", "Pb", "Pb", "Pb", "Br"], "frac_coords": [[0.000, 0.000, 0.000], [0.000, 0.500, 0.500], [0.500, 0.000, 0.500], [0.500, 0.500, 0.000], [0.500, 0.500, 0.500]], "spacegroup": "Pm-3m", "polymorph_energy_mev_per_atom": 74}

No. 4
{"formula": "Ba3Ac3ErS8", "functional": "PBE-GGA", "state": "relaxed", "cell": [[4.319, 2.493, 7.336], [-4.319, 2.493, 7.336], [0.000, -4.987, 7.336]], "species": ["Ba", "Ba", "Ba", "Ac", "Ac", "Ac", "Er", "S", "S", "S", "S", "S", "S", "S", "S"], "frac_coords": [[0.000, 0.500, 0.500], [0.500, 0.000, 0.500], [0.500, 0.500, 0.000], [0.000, 0.000, 0.500], [0.000, 0.500, 0.000], [0.500, 0.000, 0.000], [0.500, 0.500, 0.500], [0.245, 0.245, 0.245], [0.262, 0.725, 0.725], [0.275, 0.275, 0.738], [0.275, 0.738, 0.275], [0.725, 0.262, 0.725], [0.725, 0.725, 0.262], [0.738, 0.275, 0.275], [0.755, 0.755, 0.755]], "spacegroup": "R-3m"}

E_tot list, top to bottom, in eV/atom: -3.84, -6.60, -2.95, -5.78
D(E_F) list, top to bottom, in states/eV per atom: 0.580, 0.453, 0.946, 0.376
Mass density list, top to bottom, in g/cm³: 3.198, 5.623, 7.179, 5.314